Entry 1:
A geometry-optimized Nd5HoTm2 structure. Source: Alexandria, functional PBE-GGA.

## Properties
Energy above the most stable polymorph in this dataset in eV per atom: 0.157
Magnetic moment in Bohr magnetons per cell: 0.00
Formation energy in meV per atom: 273.6
Calculated volume in Å³/f.u.: 270.7

Cell lengths 14.6971, 14.6971, 8.6125 Å; angles 63.77, 63.77, 123.71 degrees
Fractional positions:
Nd 0.5230 0.8301 0.3313
Nd 0.3758 0.6242 0.2500
Tm 0.5000 0.0000 0.0000
Tm 0.0000 0.5000 0.5000
Nd 0.1699 0.4770 0.1687
Ho 0.2052 0.7948 0.7500
Nd 0.6242 0.3758 0.7500
Nd 0.0027 0.8732 0.6205
Nd 0.9973 0.1268 0.3795
Tm 0.5000 0.5000 0.0000
Tm 0.5000 0.5000 0.5000
Ho 0.7948 0.2052 0.2500
Nd 0.1268 0.9973 0.8795
Nd 0.8301 0.5230 0.8313
Nd 0.4770 0.1699 0.6687
Nd 0.8732 0.0027 0.1205

Entry 2:
A geometry-optimized NdHo5Tm12 structure. Source: Alexandria, functional PBE-GGA.

## Properties
Magnetic moment in Bohr magnetons per cell: 0.00
Formation energy in meV per atom: 12.2
Calculated volume in Å³/f.u.: 548.3

Cell lengths 6.0942, 6.0942, 17.1676 Å; angles 86.61, 86.61, 120.00 degrees
Fractional positions:
Tm 0.8895 0.8895 0.3320
Ho 0.5000 0.5000 0.5000
Tm 0.9442 0.6099 0.1676
Tm 0.2786 0.2786 0.1676
Ho 0.3333 0.6667 0.0000
Ho 0.6667 0.3333 0.0000
Tm 0.0558 0.3901 0.8324
Tm 0.5559 0.2226 0.3322
Ho 0.1665 0.8335 0.5000
Tm 0.7774 0.4441 0.6678
Tm 0.1105 0.1105 0.6680
Ho 0.8335 0.1665 0.5000
Tm 0.6099 0.9442 0.1676
Nd 0.0000 0.0000 0.0000
Tm 0.4441 0.7774 0.6678
Tm 0.3901 0.0558 0.8324
Tm 0.7214 0.7214 0.8324
Tm 0.2226 0.5559 0.3322

Entry 3:
A geometry-optimized Nd12Ho3Tm structure. Source: Alexandria, functional PBE-GGA.

## Properties
Magnetic moment in Bohr magnetons per cell: 0.00
Formation energy in meV per atom: 13.6
Calculated volume in Å³/f.u.: 544.3

Cell lengths 5.1483, 5.1483, 20.5369 Å; angles 90.00, 90.00, 90.00 degrees
Fractional positions:
Nd 0.5000 0.0000 0.8755
Nd 0.0000 0.5000 0.1245
Nd 0.0000 0.5000 0.6252
Ho 0.0000 0.0000 0.2495
Nd 0.5000 0.5000 0.7504
Ho 0.0000 0.0000 0.5000
Nd 0.5000 0.0000 0.3748
Nd 0.5000 0.5000 0.5000
Nd 0.5000 0.5000 0.2496
Nd 0.5000 0.5000 0.0000
Tm 0.0000 0.0000 0.0000
Nd 0.0000 0.5000 0.8755
Ho 0.0000 0.0000 0.7505
Nd 0.0000 0.5000 0.3748
Nd 0.5000 0.0000 0.6252
Nd 0.5000 0.0000 0.1245

Entry 4:
A geometry-optimized NdHo4Tm5 structure. Source: Alexandria, functional PBE-GGA.

## Properties
Energy above the most stable polymorph in this dataset in eV per atom: 0.000
Magnetic moment in Bohr magnetons per cell: 0.00
Formation energy in meV per atom: 62.5
Calculated volume in Å³/f.u.: 312.0

Cell lengths 3.5248, 6.7030, 14.2524 Å; angles 95.77, 101.05, 106.80 degrees
Fractional positions:
Tm 0.0477 0.4264 0.6126
Nd 0.5000 0.0000 0.0000
Ho 0.8361 0.7273 0.8034
Ho 0.1639 0.2727 0.1966
Tm 0.2417 0.1197 0.4168
Tm 0.7583 0.8803 0.5832
Ho 0.4149 0.8094 0.2188
Tm 0.5000 0.5000 0.0000
Ho 0.5851 0.1906 0.7812
Tm 0.9523 0.5736 0.3874

Entry 5:
A geometry-optimized Nd4Ho6Tm structure. Source: Alexandria, functional PBE-GGA.

## Properties
Energy above the most stable polymorph in this dataset in eV per atom: 0.000
Magnetic moment in Bohr magnetons per cell: 0.00
Formation energy in meV per atom: 166.2
Calculated volume in Å³/f.u.: 373.3

Cell lengths 3.5581, 11.0071, 11.0071 Å; angles 120.00, 90.00, 90.00 degrees
Fractional positions:
Ho 0.0000 0.5095 0.0191
Ho 0.0000 0.5095 0.4905
Nd 0.5000 0.3288 0.1644
Tm 0.0000 0.0000 0.0000
Ho 0.5000 0.1793 0.3585
Ho 0.5000 0.6415 0.8207
Nd 0.5000 0.8356 0.1644
Ho 0.0000 0.9809 0.4905
Ho 0.5000 0.1793 0.8207
Nd 0.5000 0.8356 0.6712
Nd 0.0000 0.3333 0.6667

Entry 6:
A geometry-optimized Nd2Ho3Tm7 structure. Source: Alexandria, functional PBE-GGA.

## Properties
Energy above the most stable polymorph in this dataset in eV per atom: 0.030
Magnetic moment in Bohr magnetons per cell: 0.00
Formation energy in meV per atom: 116.8
Calculated volume in Å³/f.u.: 377.9

Cell lengths 3.5896, 5.6251, 18.9245 Å; angles 98.55, 90.00, 90.00 degrees
Fractional positions:
Tm 0.0000 0.5886 0.1771
Ho 0.5000 0.5000 0.0000
Ho 0.5000 0.6863 0.3726
Tm 0.0000 0.7696 0.5391
Nd 0.0000 0.8533 0.7065
Tm 0.0000 0.0000 0.0000
Tm 0.0000 0.2304 0.4609
Ho 0.5000 0.3137 0.6274
Tm 0.5000 0.0703 0.1407
Tm 0.5000 0.9297 0.8593
Nd 0.0000 0.1467 0.2935
Tm 0.0000 0.4114 0.8229

Entry 7:
A geometry-optimized NdHo2Tm6 structure. Source: Alexandria, functional PBE-GGA.

## Properties
Energy above the most stable polymorph in this dataset in eV per atom: 0.000
Magnetic moment in Bohr magnetons per cell: 0.00
Formation energy in meV per atom: 26.0
Calculated volume in Å³/f.u.: 276.9

Cell lengths 4.9804, 10.5448, 10.5452 Å; angles 90.00, 90.00, 90.00 degrees
Fractional positions:
Tm 0.5000 0.8347 0.0006
Tm 0.5001 0.1681 0.6677
Tm 0.0000 0.9998 0.8347
Ho 0.0001 0.3322 0.8318
Tm 0.0000 0.6653 0.5006
Tm 0.4999 0.8319 0.3323
Tm 0.0001 0.3318 0.1677
Ho 0.5001 0.1678 0.3319
Tm 0.5000 0.1653 0.9994
Ho 0.4999 0.8322 0.6681
Tm 0.0000 0.0002 0.1653
Tm 0.9999 0.6682 0.8323
Tm 0.5000 0.5002 0.3347
Tm 0.0000 0.3347 0.4994
Ho 0.9999 0.6678 0.1682
Tm 0.5000 0.4998 0.6653
Nd 0.0000 0.0000 0.5000
Nd 0.5000 0.5000 0.0000

Entry 8:
A geometry-optimized NdHo6Tm6 structure. Source: Alexandria, functional PBE-GGA.

## Properties
Magnetic moment in Bohr magnetons per cell: 0.00
Formation energy in meV per atom: 247.3
Calculated volume in Å³/f.u.: 422.2

Cell lengths 6.7343, 6.7343, 11.0749 Å; angles 90.00, 90.00, 122.80 degrees
Fractional positions:
Ho 0.0000 0.0000 0.3492
Tm 0.5000 0.0000 0.7393
Nd 0.0000 0.0000 0.0000
Ho 0.2977 0.7023 0.0000
Tm 0.5000 0.0000 0.2607
Ho 0.7023 0.2977 0.0000
Tm 0.5000 0.5000 0.2097
Tm 0.0000 0.5000 0.2607
Ho 0.6348 0.3652 0.5000
Ho 0.0000 0.0000 0.6508
Ho 0.3652 0.6348 0.5000
Tm 0.0000 0.5000 0.7393
Tm 0.5000 0.5000 0.7903

Entry 9:
A geometry-optimized Nd5Ho3Tm structure. Source: Alexandria, functional PBE-GGA.

## Properties
Energy above the most stable polymorph in this dataset in eV per atom: 0.000
Magnetic moment in Bohr magnetons per cell: 0.00
Formation energy in meV per atom: 271.7
Calculated volume in Å³/f.u.: 311.8

Cell lengths 6.3088, 10.9265, 11.8007 Å; angles 125.00, 90.00, 106.78 degrees
Fractional positions:
Ho 0.3946 0.3520 0.3256
Nd 0.4729 0.2722 0.6134
Ho 0.0426 0.6480 0.1744
Nd 0.0099 0.3616 0.5319
Nd 0.3517 0.3616 0.0319
Nd 0.6483 0.6384 0.9681
Nd 0.9901 0.6384 0.4681
Ho 0.0000 0.0000 0.5000
Ho 0.9574 0.3520 0.8256
Nd 0.5271 0.7278 0.3866
Tm 0.1031 0.0000 0.2500
Nd 0.4045 0.0000 0.7500
Nd 0.2007 0.7278 0.8866
Ho 0.6054 0.6480 0.6744
Ho 0.0000 0.0000 0.0000
Tm 0.8969 0.0000 0.7500
Nd 0.5955 0.0000 0.2500
Nd 0.7993 0.2722 0.1134

Entry 10:
A geometry-optimized Nd2Ho9Tm structure. Source: Alexandria, functional PBE-GGA.

## Properties
Energy above the most stable polymorph in this dataset in eV per atom: 0.050
Magnetic moment in Bohr magnetons per cell: 0.01
Formation energy in meV per atom: 74.4
Calculated volume in Å³/f.u.: 379.6

Cell lengths 3.4833, 11.2181, 11.2181 Å; angles 120.00, 90.00, 90.00 degrees
Fractional positions:
Nd 0.0000 0.3333 0.6667
Ho 0.5000 0.1731 0.8269
Ho 0.5000 0.8269 0.6537
Tm 0.0000 0.0000 0.0000
Ho 0.5000 0.3463 0.1731
Nd 0.0000 0.6667 0.3333
Ho 0.5000 0.1731 0.3463
Ho 0.5000 0.6537 0.8269
Ho 0.0000 0.0000 0.5000
Ho 0.0000 0.5000 0.5000
Ho 0.5000 0.8269 0.1731
Ho 0.0000 0.5000 0.0000

Entry 11:
A geometry-optimized Nd5Ho2Tm12 structure. Source: Alexandria, functional PBE-GGA.

## Properties
Energy above the most stable polymorph in this dataset in eV per atom: 0.157
Magnetic moment in Bohr magnetons per cell: 0.00
Formation energy in meV per atom: 181.2
Calculated volume in Å³/f.u.: 612.9

Cell lengths 6.9927, 9.7486, 10.3250 Å; angles 70.35, 90.00, 111.02 degrees
Fractional positions:
Ho 0.2714 0.0000 0.0000
Tm 0.9108 0.3154 0.1318
Nd 0.3184 0.6368 0.2097
Tm 0.4978 0.9957 0.6749
Tm 0.5022 0.0043 0.3251
Nd 0.0000 0.0000 0.5000
Tm 0.9100 0.3254 0.4787
Nd 0.6816 0.3632 0.7903
Tm 0.4046 0.3154 0.1318
Tm 0.0892 0.6846 0.8682
Tm 0.9752 0.9504 0.2467
Nd 0.1876 0.3752 0.8187
Ho 0.7286 0.0000 0.0000
Tm 0.0248 0.0496 0.7533
Tm 0.5954 0.6846 0.8682
Nd 0.8124 0.6248 0.1813
Tm 0.0900 0.6746 0.5213
Tm 0.4153 0.3254 0.4787
Tm 0.5847 0.6746 0.5213

Entry 12:
A geometry-optimized Nd2Ho4Tm5 structure. Source: Alexandria, functional PBE-GGA.

## Properties
Energy above the most stable polymorph in this dataset in eV per atom: 0.195
Magnetic moment in Bohr magnetons per cell: 0.00
Formation energy in meV per atom: 219.1
Calculated volume in Å³/f.u.: 359.1

Cell lengths 3.4745, 8.9553, 12.4999 Å; angles 110.99, 97.99, 90.00 degrees
Fractional positions:
Ho 0.5972 0.5972 0.1943
Nd 0.7331 0.7331 0.4661
Nd 0.2669 0.2669 0.5339
Ho 0.4028 0.4028 0.8057
Tm 0.1402 0.3331 0.2805
Tm 0.8598 0.0526 0.7195
Tm 0.5000 0.0000 0.0000
Tm 0.8598 0.6669 0.7195
Ho 0.0000 0.3092 0.0000
Ho 0.0000 0.6908 0.0000
Tm 0.1402 0.9474 0.2805

no.,electronic total energy (eV/atom)
1,-4.40
2,-4.51
3,-4.70
4,-4.48
5,-4.47
6,-4.43
7,-4.50
8,-4.30
9,-4.40
10,-4.53
11,-4.38
12,-4.34